a) Computed, not measured: a relaxed RbAgN2 crystal at the PBE-GGA level of DFT.

a b c (Å): 6.338 6.338 6.338
angles (deg): 90.00 90.00 90.00
Fractional coordinates of all 16 atoms:
Rb 0.000 0.000 0.000
Rb 0.000 0.500 0.500
Rb 0.500 0.000 0.500
Rb 0.500 0.500 0.000
Ag 0.000 0.000 0.500
Ag 0.000 0.500 0.000
Ag 0.500 0.000 0.000
Ag 0.500 0.500 0.500
N 0.250 0.250 0.250
N 0.250 0.250 0.750
N 0.250 0.750 0.250
N 0.250 0.750 0.750
N 0.750 0.250 0.250
N 0.750 0.250 0.750
N 0.750 0.750 0.250
N 0.750 0.750 0.750

Computed properties:
V = 254.6 Å³/cell

***

b) Computed, not measured: a relaxed RbAgN2 crystal at the PBE-GGA level of DFT.

a b c (Å): 4.554 4.554 20.088
angles (deg): 90.00 90.00 120.00
Fractional coordinates of all 12 atoms:
Rb 0.000 0.000 0.000
Rb 0.333 0.667 0.667
Rb 0.667 0.333 0.333
Ag 0.000 0.000 0.500
Ag 0.333 0.667 0.167
Ag 0.667 0.333 0.833
N 0.000 0.000 0.408
N 0.000 0.000 0.592
N 0.333 0.667 0.075
N 0.333 0.667 0.258
N 0.667 0.333 0.742
N 0.667 0.333 0.925

Computed properties:
V = 360.8 Å³/cell

***

c) Computed, not measured: a relaxed RbAgN2 crystal at the PBE-GGA level of DFT.

a b c (Å): 5.421 5.463 8.817
angles (deg): 89.94 72.14 89.83
Fractional coordinates of all 8 atoms:
Rb 0.121 0.250 0.257
Rb 0.879 0.750 0.743
Ag 0.500 0.000 0.500
Ag 0.500 0.500 0.500
N 0.139 0.750 0.013
N 0.349 0.750 0.013
N 0.651 0.250 0.987
N 0.861 0.250 0.987

Computed properties:
V = 248.5 Å³/cell

***

Which one sits at the top of the stability order? c) does.

***

a) Computed, not measured: a relaxed RbAgSN2 crystal at the PBE-GGA level of DFT.

a b c (Å): 4.502 4.502 5.155
angles (deg): 90.00 90.00 90.00
Fractional coordinates of all 5 atoms:
Rb 0.000 0.000 0.000
Ag 0.500 0.500 0.500
S 0.500 0.500 0.000
N 0.000 0.500 0.500
N 0.500 0.000 0.500

Computed properties:
V = 104.5 Å³/cell

***

b) Computed, not measured: a relaxed RbAgSN2 crystal at the PBE-GGA level of DFT.

a b c (Å): 5.216 5.216 6.283
angles (deg): 90.00 90.00 90.00
Fractional coordinates of all 5 atoms:
Rb 0.000 0.000 0.000
Ag 0.500 0.500 0.500
S 0.000 0.000 0.500
N 0.000 0.500 0.000
N 0.500 0.000 0.000

Computed properties:
V = 170.9 Å³/cell

***

c) Computed, not measured: a relaxed RbAgSN2 crystal at the PBE-GGA level of DFT.

a b c (Å): 4.061 4.061 5.855
angles (deg): 90.00 90.00 90.00
Fractional coordinates of all 5 atoms:
Rb 0.000 0.000 0.000
Ag 0.500 0.500 0.000
S 0.000 0.000 0.500
N 0.000 0.500 0.500
N 0.500 0.000 0.500

Computed properties:
V = 96.5 Å³/cell

***

Which one sits at the top of the stability order? a) does.

***

a) Computed, not measured: a relaxed RbAgSeN2 crystal at the PBE-GGA level of DFT.

a b c (Å): 4.574 4.574 5.369
angles (deg): 90.00 90.00 90.00
Fractional coordinates of all 5 atoms:
Rb 0.000 0.000 0.000
Ag 0.500 0.500 0.500
Se 0.500 0.500 0.000
N 0.000 0.500 0.500
N 0.500 0.000 0.500

Computed properties:
V = 112.3 Å³/cell

***

b) Computed, not measured: a relaxed RbAgSeN2 crystal at the PBE-GGA level of DFT.

a b c (Å): 5.143 5.143 6.676
angles (deg): 90.00 90.00 90.00
Fractional coordinates of all 5 atoms:
Rb 0.000 0.000 0.000
Ag 0.500 0.500 0.500
Se 0.000 0.000 0.500
N 0.000 0.500 0.000
N 0.500 0.000 0.000

Computed properties:
V = 176.6 Å³/cell

***

Which one sits at the top of the stability order? a) does.

***

a) Computed, not measured: a relaxed ReAg3N crystal at the PBE-GGA level of DFT.

a b c (Å): 5.041 5.041 5.041
angles (deg): 90.00 90.00 90.00
Fractional coordinates of all 5 atoms:
Re 0.000 0.000 0.000
Ag 0.000 0.000 0.500
Ag 0.000 0.500 0.000
Ag 0.500 0.000 0.000
N 0.500 0.500 0.500

Computed properties:
V = 128.1 Å³/cell

***

b) Computed, not measured: a relaxed ReAg3N crystal at the PBE-GGA level of DFT.

a b c (Å): 4.280 4.280 4.280
angles (deg): 90.00 90.00 90.00
Fractional coordinates of all 5 atoms:
Re 0.000 0.000 0.000
Ag 0.000 0.500 0.500
Ag 0.500 0.000 0.500
Ag 0.500 0.500 0.000
N 0.500 0.500 0.500

Computed properties:
V = 78.4 Å³/cell

***

Which one sits at the top of the stability order? b) does.

***

a) Computed, not measured: a relaxed Re2AgSN crystal at the PBE-GGA level of DFT.

a b c (Å): 3.889 3.889 5.484
angles (deg): 90.00 90.00 90.00
Fractional coordinates of all 5 atoms:
Re 0.000 0.500 0.000
Re 0.500 0.000 0.000
Ag 0.000 0.000 0.500
S 0.500 0.500 0.500
N 0.500 0.500 0.000

Computed properties:
V = 82.9 Å³/cell

***

b) Computed, not measured: a relaxed Re2AgSN crystal at the PBE-GGA level of DFT.

a b c (Å): 4.581 4.581 3.444
angles (deg): 90.00 90.00 90.00
Fractional coordinates of all 5 atoms:
Re 0.000 0.500 0.000
Re 0.500 0.000 0.000
Ag 0.000 0.000 0.500
S 0.500 0.500 0.000
N 0.500 0.500 0.500

Computed properties:
V = 72.3 Å³/cell

***

Which one sits at the top of the stability order? a) does.

***

a) Computed, not measured: a relaxed ReAgSeN2 crystal at the PBE-GGA level of DFT.

a b c (Å): 3.916 3.916 6.948
angles (deg): 90.00 90.00 90.00
Fractional coordinates of all 5 atoms:
Re 0.000 0.000 0.000
Ag 0.500 0.500 0.500
Se 0.500 0.500 0.000
N 0.000 0.500 0.500
N 0.500 0.000 0.500

Computed properties:
V = 106.5 Å³/cell

***

b) Computed, not measured: a relaxed ReAgSeN2 crystal at the PBE-GGA level of DFT.

a b c (Å): 3.838 3.838 5.518
angles (deg): 90.00 90.00 90.00
Fractional coordinates of all 5 atoms:
Re 0.000 0.000 0.000
Ag 0.500 0.500 0.500
Se 0.000 0.000 0.500
N 0.000 0.500 0.000
N 0.500 0.000 0.000

Computed properties:
V = 81.3 Å³/cell

***

Which one sits at the top of the stability order? b) does.

***

a) Computed, not measured: a relaxed ReAgSe2N crystal at the PBE-GGA level of DFT.

a b c (Å): 5.079 5.079 3.740
angles (deg): 90.00 90.00 90.00
Fractional coordinates of all 5 atoms:
Re 0.000 0.000 0.000
Ag 0.500 0.500 0.500
Se 0.000 0.500 0.000
Se 0.500 0.000 0.000
N 0.000 0.000 0.500

Computed properties:
V = 96.5 Å³/cell

***

b) Computed, not measured: a relaxed ReAgSe2N crystal at the PBE-GGA level of DFT.

a b c (Å): 5.113 5.113 3.847
angles (deg): 90.00 90.00 90.00
Fractional coordinates of all 5 atoms:
Re 0.000 0.000 0.000
Ag 0.500 0.500 0.500
Se 0.000 0.500 0.500
Se 0.500 0.000 0.500
N 0.500 0.500 0.000

Computed properties:
V = 100.6 Å³/cell

***

Which one sits at the top of the stability order? a) does.

***

a) Computed, not measured: a relaxed ReAgTeN2 crystal at the PBE-GGA level of DFT.

a b c (Å): 3.967 3.967 5.593
angles (deg): 90.00 90.00 90.00
Fractional coordinates of all 5 atoms:
Re 0.000 0.000 0.000
Ag 0.500 0.500 0.500
Te 0.500 0.500 0.000
N 0.000 0.500 0.500
N 0.500 0.000 0.500

Computed properties:
V = 88.0 Å³/cell

***

b) Computed, not measured: a relaxed ReAgTeN2 crystal at the PBE-GGA level of DFT.

a b c (Å): 3.886 3.886 5.851
angles (deg): 90.00 90.00 90.00
Fractional coordinates of all 5 atoms:
Re 0.000 0.000 0.000
Ag 0.500 0.500 0.500
Te 0.000 0.000 0.500
N 0.000 0.500 0.000
N 0.500 0.000 0.000

Computed properties:
V = 88.4 Å³/cell

***

Which one sits at the top of the stability order? b) does.